No. 1
A geometry-optimized RbNdCuO3 structure, computed with PBE.

Values from the calculation:
- Calculated density: 4.6 g/cm³
- Magnetic moment: 2.005 μB/cell
- Formation energy (no corrections): -1.862 eV/atom

a b c (Å): 7.7682 3.7371 8.9960
angles (deg): 90.00 107.89 90.00
Space group P2_1/m (No. 11)
One atom of each set of equivalent atoms:
Rb (0.1860, 0.2500, 0.1845) [2 per cell]
Nd (0.3354, 0.7500, 0.8536) [2 per cell]
Cu (0.0464, 0.2500, 0.6245) [2 per cell]
O (0.1104, 0.7500, 0.5921) [2 per cell]
O (0.1321, 0.2500, 0.8507) [2 per cell]
O (0.4598, 0.7500, 0.1244) [2 per cell]

***

No. 2
A geometry-optimized LiCe2TmTe5 structure, computed with PBE.

Values from the calculation:
- Calculated density: 6.7 g/cm³
- Magnetic moment: 0.074 μB/cell
- Formation energy (no corrections): -1.270 eV/atom

a b c (Å): 4.4103 18.7068 13.1747
angles (deg): 90.00 90.00 90.00
Space group Cmc2_1 (No. 36)
One atom of each set of equivalent atoms:
Li (0.0000, 0.0600, 0.0000) [4 per cell]
Ce (0.0000, 0.3740, 0.8426) [4 per cell]
Ce (0.0000, 0.3931, 0.2244) [4 per cell]
Tm (0.0000, 0.3019, 0.5497) [4 per cell]
Te (0.0000, 0.0021, 0.3194) [4 per cell]
Te (0.0000, 0.1393, 0.5388) [4 per cell]
Te (0.0000, 0.1904, 0.8884) [4 per cell]
Te (0.0000, 0.2156, 0.2076) [4 per cell]
Te (0.0000, 0.4529, 0.6085) [4 per cell]

***

No. 3
A geometry-optimized TiZnCu2Pd structure, computed with PBE.

Values from the calculation:
- Calculated density: 5.9 g/cm³
- Magnetic moment: 0.054 μB/cell
- Energy of formation from the pure elements: 74.4 kJ/mol of atoms

a b c (Å): 4.6328 4.6328 4.5789
angles (deg): 90.00 90.00 90.00
Space group P4/mmm (No. 123)
One atom of each set of equivalent atoms:
Ti (0.0000, 0.0000, 0.0000) [1 per cell]
Zn (0.5000, 0.5000, 0.0000) [1 per cell]
Cu (0.0000, 0.5000, 0.5000) [2 per cell]
Pd (0.5000, 0.5000, 0.5000) [1 per cell]

***

No. 4
A geometry-optimized Rb3FeBr6 structure, computed with PBE.

Values from the calculation:
- Calculated density: 3.2 g/cm³
- Magnetic moment: 17.834 μB/cell
- Formation energy (no corrections): -1.167 eV/atom

a b c (Å): 13.2734 13.2734 15.9177
angles (deg): 90.00 90.00 120.00
Space group R-3 (No. 148, hexagonal axes)
One atom of each set of equivalent atoms:
Rb (0.0492, 0.7750, 0.2046) [18 per cell]
Fe (0.0000, 0.0000, 0.0000) [3 per cell]
Fe (0.0000, 0.0000, 0.5000) [3 per cell]
Br (0.0124, 0.8456, 0.4056) [18 per cell]
Br (0.0309, 0.8647, 0.9120) [18 per cell]

***

No. 5
A geometry-optimized Li2Cu4Rh structure, computed with PBE.

Values from the calculation:
- Calculated density: 6.5 g/cm³
- Magnetic moment: 0.000 μB/cell
- Energy of formation from the pure elements: 4.5 kJ/mol of atoms

a b c (Å): 4.5371 4.7164 8.8623
angles (deg): 90.00 93.74 90.00
Space group P2_1/m (No. 11)
One atom of each set of equivalent atoms:
Li (0.0884, 0.2500, 0.3874) [2 per cell]
Li (0.3371, 0.7500, 0.4278) [2 per cell]
Cu (0.0915, 0.0017, 0.1368) [4 per cell]
Cu (0.1959, 0.2500, 0.6746) [2 per cell]
Cu (0.4026, 0.7500, 0.7751) [2 per cell]
Rh (0.4286, 0.2500, 0.9370) [2 per cell]

***

No. 6
A geometry-optimized Ce2LuPu structure, computed with PBE.

Values from the calculation:
- Calculated density: 10.9 g/cm³
- Magnetic moment: 3.648 μB/cell
- Energy of formation from the pure elements: 45.7 kJ/mol of atoms

a b c (Å): 3.5602 3.5602 29.1864
angles (deg): 90.00 90.00 120.00
Space group R-3m (No. 166, hexagonal axes)
One atom of each set of equivalent atoms:
Ce (0.0000, 0.0000, 0.1126) [6 per cell]
Lu (0.0000, 0.0000, 0.0000) [3 per cell]
Pu (0.0000, 0.0000, 0.5000) [3 per cell]

***

No. 7
A geometry-optimized CaHfScCd2 structure, computed with PBE.

Values from the calculation:
- Calculated density: 5.4 g/cm³
- Magnetic moment: 1.557 μB/cell
- Energy of formation from the pure elements: 113.7 kJ/mol of atoms

a b c (Å): 5.3292 5.3292 5.2824
angles (deg): 90.00 90.00 90.00
Space group P4/mmm (No. 123)
One atom of each set of equivalent atoms:
Ca (0.0000, 0.0000, 0.0000) [1 per cell]
Hf (0.0000, 0.0000, 0.5000) [1 per cell]
Sc (0.5000, 0.5000, 0.5000) [1 per cell]
Cd (0.0000, 0.5000, 0.0000) [2 per cell]

***

No. 8
A geometry-optimized Ce5HgSb2 structure, computed with PBE.

Values from the calculation:
- Calculated density: 8.3 g/cm³
- Magnetic moment: 9.588 μB/cell
- Formation energy (no corrections): -0.289 eV/atom

a b c (Å): 5.5465 11.3152 14.5445
angles (deg): 90.00 90.00 90.00
Space group Cmcm (No. 63)
One atom of each set of equivalent atoms:
Ce (0.0000, 0.0471, 0.2500) [4 per cell]
Ce (0.0000, 0.1095, 0.5260) [8 per cell]
Ce (0.0000, 0.4224, 0.5700) [8 per cell]
Hg (0.0000, 0.2565, 0.7500) [4 per cell]
Sb (0.0000, 0.3066, 0.1326) [8 per cell]

***

No. 9
A geometry-optimized TlSbCl3 structure, computed with PBE.

Values from the calculation:
- Calculated density: 4.0 g/cm³
- Magnetic moment: 0.000 μB/cell
- Formation energy (no corrections): -0.833 eV/atom

a b c (Å): 5.5923 7.7254 9.2596
angles (deg): 109.77 106.77 91.58
Space group P-1 (No. 2)
One atom of each set of equivalent atoms:
Tl (0.2017, 0.2281, 0.4042) [2 per cell]
Sb (0.4855, 0.1910, 0.9810) [2 per cell]
Cl (0.0773, 0.7762, 0.0221) [2 per cell]
Cl (0.3341, 0.0368, 0.6670) [2 per cell]
Cl (0.3462, 0.6047, 0.7003) [2 per cell]

***

No. 10
A geometry-optimized ZrTaW structure, computed with PBE.

Values from the calculation:
- Calculated density: 13.5 g/cm³
- Magnetic moment: 0.000 μB/cell
- Energy of formation from the pure elements: 9.4 kJ/mol of atoms

a b c (Å): 4.6828 4.6828 2.9513
angles (deg): 90.00 90.00 120.00
Space group P3m1 (No. 156)
One atom of each set of equivalent atoms:
Zr (0.0000, 0.0000, 0.0000) [1 per cell]
Ta (0.3333, 0.6667, 0.3873) [1 per cell]
W (0.6667, 0.3333, 0.6721) [1 per cell]

***

No. 11
A geometry-optimized Pm3B4Ru2 structure, computed with PBE.

Values from the calculation:
- Calculated density: 7.8 g/cm³
- Magnetic moment: 0.000 μB/cell
- Energy of formation from the pure elements: -29.6 kJ/mol of atoms

a b c (Å): 10.2183 3.4388 8.2135
angles (deg): 90.00 93.67 90.00
Space group C2/m (No. 12)
One atom of each set of equivalent atoms:
Pm (0.0000, 0.0000, 0.0000) [2 per cell]
Pm (0.1186, 0.5000, 0.3829) [4 per cell]
B (0.1098, 0.0000, 0.6678) [4 per cell]
B (0.2290, 0.5000, 0.0344) [4 per cell]
Ru (0.1799, 0.5000, 0.7805) [4 per cell]

***

No. 12
A geometry-optimized PuHfS3 structure, computed with PBE.

Values from the calculation:
- Calculated density: 8.3 g/cm³
- Magnetic moment: 22.710 μB/cell
- Formation energy (no corrections): -1.616 eV/atom

a b c (Å): 8.3244 3.7375 13.2699
angles (deg): 90.00 90.00 90.00
Space group Pnma (No. 62)
One atom of each set of equivalent atoms:
Pu (0.0560, 0.2500, 0.1772) [4 per cell]
Hf (0.1739, 0.7500, 0.4470) [4 per cell]
S (0.0160, 0.7500, 0.6119) [4 per cell]
S (0.1529, 0.7500, 0.0191) [4 per cell]
S (0.2036, 0.2500, 0.7772) [4 per cell]

***

No. 13
A geometry-optimized Ti3AsP2 structure, computed with PBE.

Values from the calculation:
- Calculated density: 4.8 g/cm³
- Magnetic moment: 0.000 μB/cell
- Energy of formation from the pure elements: -97.3 kJ/mol of atoms

a b c (Å): 6.1996 10.7160 6.1736
angles (deg): 90.00 109.36 90.00
Space group C2/c (No. 15)
One atom of each set of equivalent atoms:
Ti (0.2232, 0.0920, 0.4925) [8 per cell]
Ti (0.2500, 0.2500, 0.0000) [4 per cell]
As (0.0000, 0.4247, 0.7500) [4 per cell]
P (0.0000, 0.0842, 0.7500) [4 per cell]
P (0.0000, 0.2596, 0.2500) [4 per cell]

***

No. 14
A geometry-optimized BeCr2Tc structure, computed with PBE.

Values from the calculation:
- Calculated density: 7.4 g/cm³
- Magnetic moment: 0.001 μB/cell
- Energy of formation from the pure elements: 9.0 kJ/mol of atoms

a b c (Å): 4.8373 8.2352 2.5177
angles (deg): 90.00 109.65 90.00
Space group C2/m (No. 12)
One atom of each set of equivalent atoms:
Be (0.0000, 0.0000, 0.0000) [2 per cell]
Cr (0.2500, 0.2500, 0.5000) [4 per cell]
Tc (0.0000, 0.5000, 0.0000) [2 per cell]

***

No. 15
A geometry-optimized CeMnAl11 structure, computed with PBE.

Values from the calculation:
- Calculated density: 3.7 g/cm³
- Magnetic moment: 0.409 μB/cell
- Energy of formation from the pure elements: -19.1 kJ/mol of atoms

a b c (Å): 5.2320 12.6540 7.0620
angles (deg): 90.00 111.24 90.00
Space group C2/m (No. 12)
One atom of each set of equivalent atoms:
Ce (0.0000, 0.0000, 0.0000) [2 per cell]
Mn (0.0000, 0.5000, 0.5000) [2 per cell]
Al (0.0000, 0.0000, 0.5000) [2 per cell]
Al (0.1048, 0.3936, 0.2262) [8 per cell]
Al (0.1974, 0.1712, 0.3617) [8 per cell]
Al (0.2500, 0.2500, 0.0000) [4 per cell]

***

No. 16
A geometry-optimized SrCd2As structure, computed with PBE.

Values from the calculation:
- Calculated density: 5.9 g/cm³
- Magnetic moment: 0.000 μB/cell
- Energy of formation from the pure elements: -43.0 kJ/mol of atoms

a b c (Å): 4.4602 4.1191 6.3620
angles (deg): 90.00 110.34 90.00
Space group Pm (No. 6)
One atom of each set of equivalent atoms:
Sr (0.0000, 0.0000, 0.0000) [1 per cell]
Cd (0.2807, 0.0000, 0.5599) [1 per cell]
Cd (0.6946, 0.5000, 0.3841) [1 per cell]
As (0.4460, 0.5000, 0.8909) [1 per cell]

***

No. 17
A geometry-optimized Mg6Pt2Au structure, computed with PBE.

Values from the calculation:
- Calculated density: 7.2 g/cm³
- Magnetic moment: 0.000 μB/cell
- Energy of formation from the pure elements: -56.2 kJ/mol of atoms

a b c (Å): 4.5891 4.5891 9.2182
angles (deg): 90.00 90.00 120.00
Space group P-3m1 (No. 164)
One atom of each set of equivalent atoms:
Mg (0.0000, 0.0000, 0.2092) [2 per cell]
Mg (0.3333, 0.6667, 0.0720) [2 per cell]
Mg (0.3333, 0.6667, 0.4010) [2 per cell]
Pt (0.3333, 0.6667, 0.7816) [2 per cell]
Au (0.0000, 0.0000, 0.5000) [1 per cell]

***

No. 18
A geometry-optimized Tb3CuPd12 structure, computed with PBE.

Values from the calculation:
- Calculated density: 11.1 g/cm³
- Magnetic moment: 0.000 μB/cell
- Energy of formation from the pure elements: -62.2 kJ/mol of atoms

a b c (Å): 4.1034 4.1034 16.1537
angles (deg): 90.00 90.00 90.00
Space group P4/mmm (No. 123)
One atom of each set of equivalent atoms:
Tb (0.0000, 0.0000, 0.0000) [1 per cell]
Tb (0.0000, 0.0000, 0.2586) [2 per cell]
Cu (0.0000, 0.0000, 0.5000) [1 per cell]
Pd (0.0000, 0.5000, 0.1291) [4 per cell]
Pd (0.0000, 0.5000, 0.3876) [4 per cell]
Pd (0.5000, 0.5000, 0.0000) [1 per cell]
Pd (0.5000, 0.5000, 0.2583) [2 per cell]
Pd (0.5000, 0.5000, 0.5000) [1 per cell]

***

No. 19
A geometry-optimized NiHS structure, computed with PBE.

Values from the calculation:
- Calculated density: 4.4 g/cm³
- Magnetic moment: 0.001 μB/cell
- E_tot: -4.556 eV/atom

a b c (Å): 3.4398 3.4326 5.9012
angles (deg): 90.00 90.17 90.00
Space group P2/m (No. 10)
One atom of each set of equivalent atoms:
Ni (0.0000, 0.0000, 0.0000) [1 per cell]
Ni (0.5000, 0.5000, 0.5000) [1 per cell]
H (0.0519, 0.5000, 0.9344) [2 per cell]
S (0.4996, 0.0000, 0.2618) [2 per cell]

***

No. 20
A geometry-optimized InCu2Cl4 structure, computed with PBE.

Values from the calculation:
- Calculated density: 3.3 g/cm³
- Magnetic moment: 0.000 μB/cell
- Formation energy (no corrections): -0.584 eV/atom

a b c (Å): 5.3837 5.3837 6.7176
angles (deg): 90.00 90.00 90.00
Space group P-42m (No. 111)
One atom of each set of equivalent atoms:
In (0.0000, 0.0000, 0.0000) [1 per cell]
Cu (0.0000, 0.5000, 0.5000) [2 per cell]
Cl (0.2580, 0.2580, 0.3034) [4 per cell]

***

No. 21
A geometry-optimized Sm5Si2O12 structure, computed with PBE.

Values from the calculation:
- Calculated density: 6.6 g/cm³
- Magnetic moment: 2.154 μB/cell
- Formation energy (no corrections): -3.108 eV/atom

a b c (Å): 12.3776 5.7417 7.4554
angles (deg): 90.00 107.15 90.00
Space group C2/m (No. 12)
One atom of each set of equivalent atoms:
Sm (0.0000, 0.0000, 0.0000) [2 per cell]
Sm (0.1898, 0.5000, 0.8555) [4 per cell]
Sm (0.1952, 0.5000, 0.3384) [4 per cell]
Si (0.0000, 0.2453, 0.5000) [4 per cell]
O (0.0013, 0.0000, 0.6644) [4 per cell]
O (0.0011, 0.5000, 0.3370) [4 per cell]
O (0.1487, 0.2535, 0.5723) [8 per cell]
O (0.1548, 0.2500, 0.0810) [8 per cell]